[1]
An optimized crystal structure of AcCeSnPt. Source: Alexandria via LeMat-Bulk, functional GGA-PBE.

The structure in CIF format:
```
data_AcCeSnPt
_symmetry_space_group_name_H-M 'P 1'
_symmetry_Int_Tables_number 1
_cell_length_a 5.450
_cell_length_b 5.450
_cell_length_c 5.450
_cell_angle_alpha 60.00
_cell_angle_beta 60.00
_cell_angle_gamma 60.00
loop_
_symmetry_equiv_pos_as_xyz
'x,y,z'
loop_
_atom_site_label
_atom_site_type_symbol
_atom_site_fract_x
_atom_site_fract_y
_atom_site_fract_z
_atom_site_occupancy
Ce1 Ce 0.000 0.000 0.000 1
Pt1 Pt 0.250 0.250 0.250 1
Sn1 Sn 0.750 0.750 0.750 1
Ac1 Ac 0.500 0.500 0.500 1
```

Summary:
Calculated density (g cm⁻³): 9.9
VASP energy (eV/atom): -5.6760
Volume (Å³/cell): 114.4
Crystal system: cubic
E_form (eV/f.u.): -2.618

[2]
An optimized crystal structure of Ac2CeSn3Pt4. Source: Alexandria via LeMat-Bulk, functional GGA-PBE.

The structure in CIF format:
```
data_Ac2CeSn3Pt4
_symmetry_space_group_name_H-M 'P 1'
_symmetry_Int_Tables_number 1
_cell_length_a 4.743
_cell_length_b 4.743
_cell_length_c 11.125
_cell_angle_alpha 90.00
_cell_angle_beta 90.00
_cell_angle_gamma 90.00
loop_
_symmetry_equiv_pos_as_xyz
'x,y,z'
loop_
_atom_site_label
_atom_site_type_symbol
_atom_site_fract_x
_atom_site_fract_y
_atom_site_fract_z
_atom_site_occupancy
Pt1 Pt 0.500 0.000 0.642 1
Pt2 Pt 0.000 0.500 0.358 1
Pt3 Pt 0.500 0.500 0.000 1
Pt4 Pt 0.000 0.000 0.000 1
Sn1 Sn 0.500 0.000 0.880 1
Sn2 Sn 0.000 0.500 0.120 1
Sn3 Sn 0.000 0.000 0.500 1
Ac1 Ac 0.500 0.000 0.223 1
Ac2 Ac 0.000 0.500 0.777 1
Ce1 Ce 0.500 0.500 0.500 1
```

Summary:
Calculated density (g cm⁻³): 11.5
VASP energy (eV/atom): -5.9588
Volume (Å³/cell): 250.2
Crystal system: tetragonal
E_form (eV/f.u.): -9.265